(1)
This record from the Alexandria database describes a relaxed Tm2LuTe crystal. The functional is GGA-PBE.

The value obtained for the raw formation energy is -201 kJ/mol of formula units. For the energy above the most stable polymorph in this dataset, the calculation gives 0.0 meV per atom. The calculated volume comes out at 111.2 Å³ per cell. The density is 9.6 Mg/m³. Its space group is P4/mmm.

Lattice parameters (Å, degrees): 3.8516 3.8516 7.4930 90.00 90.00 90.00
With the nearest neighbours (Å) after each atom.
Element x y z (fractional)
Tm 0.0000 0.0000 0.2331  4 Te 3.24, 4 Lu 3.38, 1 Tm 3.49
Tm 0.0000 0.0000 0.7669  4 Te 3.24, 4 Lu 3.38, 1 Tm 3.49
Lu 0.5000 0.5000 0.5000  8 Tm 3.38, 2 Te 3.75
Te 0.5000 0.5000 0.0000  8 Tm 3.24

(2)
This record from the Alexandria database describes a relaxed TmLuTe2 crystal. The functional is GGA-PBE.

The value obtained for the raw formation energy is -397 kJ/mol of formula units. For the energy above the most stable polymorph in this dataset, the calculation gives 100.9 meV per atom. The calculated volume comes out at 104.2 Å³ per cell. The density is 9.5 Mg/m³. Its space group is P4/mmm.

Lattice parameters (Å, degrees): 5.2825 5.2825 3.7347 90.00 90.00 90.00
With the nearest neighbours (Å) after each atom.
Element x y z (fractional)
Tm 0.0000 0.0000 0.0000  8 Te 3.23
Lu 0.5000 0.5000 0.0000  8 Te 3.23
Te 0.0000 0.5000 0.5000  4 Tm 3.23, 4 Lu 3.23
Te 0.5000 0.0000 0.5000  4 Tm 3.23, 4 Lu 3.23

(3)
This record from the Alexandria database describes a relaxed TmLuTe2 crystal. The functional is GGA-PBE.

The value obtained for the raw formation energy is -396 kJ/mol of formula units. For the energy above the most stable polymorph in this dataset, the calculation gives 103.5 meV per atom. The calculated volume comes out at 104.3 Å³ per cell. The density is 9.5 Mg/m³. Its space group is Fm-3m.

Lattice parameters (Å, degrees): 5.2843 5.2843 5.2843 60.00 60.00 60.00
With the nearest neighbours (Å) after each atom.
Element x y z (fractional)
Tm 0.0000 0.0000 0.0000  8 Te 3.24
Lu 0.5000 0.5000 0.5000  8 Te 3.24
Te 0.2500 0.2500 0.2500  4 Tm 3.24, 4 Lu 3.24
Te 0.7500 0.7500 0.7500  4 Lu 3.24, 4 Tm 3.24

(4)
This record from the Alexandria database describes a relaxed TmLuTe2 crystal. The functional is GGA-PBE.

The value obtained for the raw formation energy is -436 kJ/mol of formula units. For the energy above the most stable polymorph in this dataset, the calculation gives 0.0 meV per atom. The calculated volume comes out at 111.4 Å³ per cell. The density is 8.9 Mg/m³. Its space group is R-3m.

Lattice parameters (Å, degrees): 7.4329 7.4329 7.4329 33.49 33.49 33.49
With the nearest neighbours (Å) after each atom.
Element x y z (fractional)
Tm 0.0000 0.0000 0.0000  6 Te 3.04
Lu 0.5000 0.5000 0.5000  6 Te 3.02
Te 0.2491 0.2491 0.2491  3 Lu 3.02, 3 Tm 3.04
Te 0.7509 0.7509 0.7509  3 Lu 3.02, 3 Tm 3.04

(5)
This record from the Alexandria database describes a relaxed LuUTe2 crystal. The functional is GGA-PBE.

The value obtained for the raw formation energy is -267 kJ/mol of formula units. For the energy above the most stable polymorph in this dataset, the calculation gives 75.9 meV per atom. The calculated volume comes out at 104.5 Å³ per cell. The density is 10.6 Mg/m³. Its space group is P4/mmm.

Lattice parameters (Å, degrees): 3.7235 3.7235 7.5338 90.00 90.00 90.00
With the nearest neighbours (Å) after each atom.
Element x y z (fractional)
Lu 0.0000 0.0000 0.0000  8 Te 3.22
U 0.0000 0.0000 0.5000  8 Te 3.25
Te 0.5000 0.5000 0.2466  4 Lu 3.22, 4 U 3.25
Te 0.5000 0.5000 0.7534  4 Lu 3.22, 4 U 3.25

(6)
This record from the Alexandria database describes a relaxed LuUTe2 crystal. The functional is GGA-PBE.

The value obtained for the raw formation energy is -297 kJ/mol of formula units. For the energy above the most stable polymorph in this dataset, the calculation gives 0.0 meV per atom. The calculated volume comes out at 113.2 Å³ per cell. The density is 9.8 Mg/m³. Its space group is R-3m.

Lattice parameters (Å, degrees): 7.9472 7.9472 7.9472 30.30 30.30 30.30
With the nearest neighbours (Å) after each atom.
Element x y z (fractional)
Lu 0.0000 0.0000 0.0000  6 Te 3.00
U 0.5000 0.5000 0.5000  6 Te 3.11
Te 0.2540 0.2540 0.2540  3 Lu 3.00, 3 U 3.11
Te 0.7460 0.7460 0.7460  3 Lu 3.00, 3 U 3.11

(7)
This record from the Alexandria database describes a relaxed YLu2Te crystal. The functional is GGA-PBE.

The value obtained for the raw formation energy is -55 kJ/mol of formula units. For the energy above the most stable polymorph in this dataset, the calculation gives 367.2 meV per atom. The calculated volume comes out at 129.8 Å³ per cell. The density is 7.2 Mg/m³. Its space group is R-3m.

Lattice parameters (Å, degrees): 11.0271 11.0271 11.0271 19.43 19.43 19.43
With the nearest neighbours (Å) after each atom.
Element x y z (fractional)
Y 0.0000 0.0000 0.0000  2 Lu 3.32
Lu 0.1024 0.1024 0.1024  3 Te 2.99, 1 Y 3.32
Lu 0.8976 0.8976 0.8976  3 Te 2.99, 1 Y 3.32
Te 0.5000 0.5000 0.5000  6 Lu 2.99

(8)
This record from the Alexandria database describes a relaxed YLu2Te crystal. The functional is GGA-PBE.

The value obtained for the raw formation energy is -196 kJ/mol of formula units. For the energy above the most stable polymorph in this dataset, the calculation gives 0.0 meV per atom. The calculated volume comes out at 113.5 Å³ per cell. The density is 8.3 Mg/m³. Its space group is P4/mmm.

Lattice parameters (Å, degrees): 3.8095 3.8095 7.8239 90.00 90.00 90.00
With the nearest neighbours (Å) after each atom.
Element x y z (fractional)
Y 0.0000 0.0000 0.0000  8 Lu 3.44, 4 Y 3.81
Lu 0.5000 0.5000 0.2744  4 Te 3.22, 4 Y 3.44, 1 Lu 3.53
Lu 0.5000 0.5000 0.7256  4 Te 3.22, 4 Y 3.44, 1 Lu 3.53
Te 0.0000 0.0000 0.5000  8 Lu 3.22

(9)
This record from the Alexandria database describes a relaxed LuZr2Te crystal. The functional is GGA-PBE.

The value obtained for the raw formation energy is 45 kJ/mol of formula units. The calculated volume comes out at 106.3 Å³ per cell. The density is 7.6 Mg/m³. Its space group is R-3m.

Lattice parameters (Å, degrees): 10.3116 10.3116 10.3116 19.45 19.45 19.45
With the nearest neighbours (Å) after each atom.
Element x y z (fractional)
Lu 0.0000 0.0000 0.0000  2 Zr 2.93
Zr 0.0965 0.0965 0.0965  3 Te 2.93, 1 Lu 2.93
Zr 0.9035 0.9035 0.9035  3 Te 2.93, 1 Lu 2.93
Te 0.5000 0.5000 0.5000  6 Zr 2.93

(10)
This record from the Alexandria database describes a relaxed LuTh3 crystal. The functional is GGA-PBE.

For the energy above the most stable polymorph in this dataset, the calculation gives 124.2 meV per atom. For the formation energy, the calculation gives 0.687 eV/f.u. The calculated volume comes out at 127.5 Å³ per cell. The density is 11.3 Mg/m³. Its space group is Fm-3m.

Lattice parameters (Å, degrees): 5.6489 5.6489 5.6489 60.00 60.00 60.00
With the nearest neighbours (Å) after each atom.
Element x y z (fractional)
Lu 0.0000 0.0000 0.0000  8 Th 3.46
Th 0.2500 0.2500 0.2500  4 Th 3.46, 4 Lu 3.46
Th 0.5000 0.5000 0.5000  8 Th 3.46
Th 0.7500 0.7500 0.7500  4 Th 3.46, 4 Lu 3.46

(11)
This record from the Alexandria database describes a relaxed Lu2Th crystal. The functional is GGA-PBE.

For the energy above the most stable polymorph in this dataset, the calculation gives 217.1 meV per atom. For the formation energy, the calculation gives 1.673 eV/f.u. The calculated volume comes out at 96.6 Å³ per cell. The density is 10.0 Mg/m³. Its space group is I4/mmm.

Lattice parameters (Å, degrees): 9.4061 9.4061 9.4061 160.07 160.07 28.33
With the nearest neighbours (Å) after each atom.
Element x y z (fractional)
Lu 0.1822 0.1822 0.0000  8 Lu 3.25-3.38, 1 Th 3.32
Lu 0.8178 0.8178 0.0000  8 Lu 3.25-3.38, 1 Th 3.32
Th 0.0000 0.0000 0.0000  4 Th 3.25, 2 Lu 3.32

(12)
This record from the Alexandria database describes a relaxed LuTh3 crystal. The functional is GGA-PBE.

For the energy above the most stable polymorph in this dataset, the calculation gives 2.6 meV per atom. For the formation energy, the calculation gives 0.200 eV/f.u. The calculated volume comes out at 127.0 Å³ per cell. The density is 11.4 Mg/m³. Its space group is Pmm2.

Lattice parameters (Å, degrees): 3.5435 5.8564 6.1214 90.00 90.00 90.00
With the nearest neighbours (Å) after each atom.
Element x y z (fractional)
Lu 0.0000 0.0000 0.0000  10 Th 3.52-3.57, 2 Lu 3.54
Th 0.0000 0.5000 0.6698  10 Th 3.50-3.57, 2 Lu 3.56
Th 0.5000 0.0000 0.5031  4 Lu 3.52-3.55, 8 Th 3.54-3.59
Th 0.5000 0.5000 0.1634  8 Th 3.50-3.59, 4 Lu 3.57

(13)
This record from the Alexandria database describes a relaxed LuTh3 crystal. The functional is GGA-PBE.

For the energy above the most stable polymorph in this dataset, the calculation gives 0.0 meV per atom. For the formation energy, the calculation gives 0.190 eV/f.u. The calculated volume comes out at 126.8 Å³ per cell. The density is 11.4 Mg/m³. Its space group is Pm-3m.

Lattice parameters (Å, degrees): 5.0244 5.0244 5.0244 90.00 90.00 90.00
With the nearest neighbours (Å) after each atom.
Element x y z (fractional)
Lu 0.0000 0.0000 0.0000  12 Th 3.55
Th 0.0000 0.5000 0.5000  8 Th 3.55, 4 Lu 3.55
Th 0.5000 0.0000 0.5000  8 Th 3.55, 4 Lu 3.55
Th 0.5000 0.5000 0.0000  8 Th 3.55, 4 Lu 3.55

(14)
This record from the Alexandria database describes a relaxed Lu6Th crystal. The functional is GGA-PBE.

For the formation energy, the calculation gives 11.411 eV/f.u. The calculated volume comes out at 250.7 Å³ per cell. The density is 8.5 Mg/m³. Its space group is Im-3m.

Lattice parameters (Å, degrees): 6.8803 6.8803 6.8803 109.47 109.47 109.47
With the nearest neighbours (Å) after each atom.
Element x y z (fractional)
Lu 0.2500 0.5000 0.7500  4 Lu 2.81
Lu 0.2500 0.7500 0.5000  4 Lu 2.81
Lu 0.5000 0.2500 0.7500  4 Lu 2.81
Lu 0.5000 0.7500 0.2500  4 Lu 2.81
Lu 0.7500 0.2500 0.5000  4 Lu 2.81
Lu 0.7500 0.5000 0.2500  4 Lu 2.81
Th 0.0000 0.0000 0.0000  24 Lu 4.44

(15)
This record from the Alexandria database describes a relaxed Lu2Th crystal. The functional is GGA-PBE.

For the energy above the most stable polymorph in this dataset, the calculation gives 0.0 meV per atom. For the formation energy, the calculation gives 1.022 eV/f.u. The calculated volume comes out at 188.8 Å³ per cell. The density is 10.2 Mg/m³. Its space group is Fd-3m.

Lattice parameters (Å, degrees): 6.4395 6.4395 6.4395 60.00 60.00 60.00
With the nearest neighbours (Å) after each atom.
Element x y z (fractional)
Lu 0.0000 0.0000 0.0000  6 Lu 3.22
Lu 0.0000 0.0000 0.5000  6 Lu 3.22
Lu 0.0000 0.5000 0.0000  6 Lu 3.22
Lu 0.5000 0.0000 0.0000  6 Lu 3.22
Th 0.3750 0.3750 0.3750  12 Lu 3.78, 4 Th 3.94
Th 0.6250 0.6250 0.6250  12 Lu 3.78, 4 Th 3.94

(16)
This record from the Alexandria database describes a relaxed LuTh2Tl crystal. The functional is GGA-PBE.

For the energy above the most stable polymorph in this dataset, the calculation gives 197.7 meV per atom. For the formation energy, the calculation gives 0.459 eV/f.u. The calculated volume comes out at 120.8 Å³ per cell. The density is 11.6 Mg/m³. Its space group is Fm-3m.

Lattice parameters (Å, degrees): 5.5490 5.5490 5.5490 60.00 60.00 60.00
With the nearest neighbours (Å) after each atom.
Element x y z (fractional)
Lu 0.0000 0.0000 0.0000  8 Th 3.40
Th 0.2500 0.2500 0.2500  4 Tl 3.40, 4 Lu 3.40
Th 0.7500 0.7500 0.7500  4 Tl 3.40, 4 Lu 3.40
Tl 0.5000 0.5000 0.5000  8 Th 3.40

(17)
This record from the Alexandria database describes a relaxed Lu2ThTl crystal. The functional is GGA-PBE.

For the energy above the most stable polymorph in this dataset, the calculation gives 0.0 meV per atom. For the formation energy, the calculation gives -0.692 eV/f.u. The calculated volume comes out at 113.3 Å³ per cell. The density is 11.5 Mg/m³. Its space group is P4/mmm.

Lattice parameters (Å, degrees): 3.5642 3.5642 8.9188 90.00 90.00 90.00
With the nearest neighbours (Å) after each atom.
Element x y z (fractional)
Lu 0.0000 0.0000 0.2328  4 Tl 3.27, 4 Th 3.47, 4 Lu 3.56
Lu 0.0000 0.0000 0.7672  4 Tl 3.27, 4 Th 3.47, 4 Lu 3.56
Th 0.5000 0.5000 0.5000  8 Lu 3.47, 4 Th 3.56
Tl 0.5000 0.5000 0.0000  8 Lu 3.27, 4 Tl 3.56

(18)
This record from the Alexandria database describes a relaxed LuTh2Tl crystal. The functional is GGA-PBE.

For the energy above the most stable polymorph in this dataset, the calculation gives 278.1 meV per atom. For the formation energy, the calculation gives 0.780 eV/f.u. The calculated volume comes out at 123.1 Å³ per cell. The density is 11.4 Mg/m³. Its space group is R-3m.

Lattice parameters (Å, degrees): 12.4661 12.4661 12.4661 15.67 15.67 15.67
With the nearest neighbours (Å) after each atom.
Element x y z (fractional)
Lu 0.0000 0.0000 0.0000  2 Th 3.28, 6 Lu 3.40
Th 0.0889 0.0889 0.0889  1 Lu 3.28, 6 Th 3.40, 3 Tl 3.48
Th 0.9111 0.9111 0.9111  1 Lu 3.28, 6 Th 3.40, 3 Tl 3.48
Tl 0.5000 0.5000 0.5000  6 Tl 3.40, 6 Th 3.48

(19)
This record from the Alexandria database describes a relaxed LuThTl2 crystal. The functional is GGA-PBE.

For the formation energy, the calculation gives -0.701 eV/f.u. The calculated volume comes out at 112.2 Å³ per cell. The density is 12.1 Mg/m³. Its space group is P4/mmm.

Lattice parameters (Å, degrees): 4.9709 4.9709 4.5388 90.00 90.00 90.00
With the nearest neighbours (Å) after each atom.
Element x y z (fractional)
Lu 0.0000 0.0000 0.0000  8 Tl 3.37, 4 Th 3.51
Th 0.5000 0.5000 0.0000  8 Tl 3.37, 4 Lu 3.51
Tl 0.0000 0.5000 0.5000  4 Th 3.37, 4 Lu 3.37, 4 Tl 3.51
Tl 0.5000 0.0000 0.5000  4 Th 3.37, 4 Lu 3.37, 4 Tl 3.51

(20)
This record from the Alexandria database describes a relaxed Lu2ThTl crystal. The functional is GGA-PBE.

For the energy above the most stable polymorph in this dataset, the calculation gives 283.7 meV per atom. For the formation energy, the calculation gives 0.443 eV/f.u. The calculated volume comes out at 112.7 Å³ per cell. The density is 11.6 Mg/m³. Its space group is Fm-3m.

Lattice parameters (Å, degrees): 5.4220 5.4220 5.4220 60.00 60.00 60.00
With the nearest neighbours (Å) after each atom.
Element x y z (fractional)
Lu 0.2500 0.2500 0.2500  4 Tl 3.32, 4 Th 3.32
Lu 0.7500 0.7500 0.7500  4 Tl 3.32, 4 Th 3.32
Th 0.0000 0.0000 0.0000  8 Lu 3.32
Tl 0.5000 0.5000 0.5000  8 Lu 3.32